Zn3BiPd12 | PBE | optimized geometry

Calculated values
Calculated volume: 250 Å³ per cell
Fermi-level density of states: 15.776 states/eV per cell
Formation energy from the elements: -4.70 eV/f.u.
Total moment: 0.000 μB/cell

a = 4.0086 Å, b = 4.0086 Å, c = 15.5873 Å
α = 90.00°, β = 90.00°, γ = 90.00°
Last column: nearest neighbours and their distance in Å.
Element x y z (fractional)
Pd 0.5000 0.5000 0.2585  8 Pd 2.75-2.76, 4 Zn 2.83
Pd 0.5000 0.0000 0.6199  4 Zn 2.74, 8 Pd 2.74-2.83
Pd 0.0000 0.5000 0.6199  4 Zn 2.74, 8 Pd 2.74-2.83
Zn 0.0000 0.0000 0.5000  12 Pd 2.74-2.83
Zn 0.0000 0.0000 0.7397  12 Pd 2.74-2.83
Pd 0.0000 0.5000 0.1373  8 Pd 2.75-2.93, 2 Zn 2.77, 2 Bi 2.93
Zn 0.0000 0.0000 0.2603  12 Pd 2.74-2.83
Bi 0.0000 0.0000 0.0000  12 Pd 2.83-2.93
Pd 0.5000 0.5000 0.0000  4 Bi 2.83, 8 Pd 2.93
Pd 0.0000 0.5000 0.8627  8 Pd 2.75-2.93, 2 Zn 2.77, 2 Bi 2.93
Pd 0.5000 0.0000 0.3801  4 Zn 2.74, 8 Pd 2.74-2.83
Pd 0.5000 0.5000 0.7415  8 Pd 2.75-2.76, 4 Zn 2.83
Pd 0.5000 0.0000 0.8627  8 Pd 2.75-2.93, 2 Zn 2.77, 2 Bi 2.93
Pd 0.0000 0.5000 0.3801  4 Zn 2.74, 8 Pd 2.74-2.83
Pd 0.5000 0.5000 0.5000  8 Pd 2.74, 4 Zn 2.83
Pd 0.5000 0.0000 0.1373  8 Pd 2.75-2.93, 2 Zn 2.77, 2 Bi 2.93

=====

ZnBiPd3 | PBE | optimized geometry

Calculated values
Calculated volume: 102 Å³ per cell
Polymorph energy (0 for the lowest one): 0.316 eV per atom
Fermi-level density of states: 1.834 states/eV per cell
Formation energy from the elements: 0.64 eV/f.u.
Total moment: 0.000 μB/cell

a = 4.6737 Å, b = 4.6737 Å, c = 4.6737 Å
α = 90.00°, β = 90.00°, γ = 90.00°
Last column: nearest neighbours and their distance in Å.
Element x y z (fractional)
Pd 0.0000 0.5000 0.0000  2 Zn 2.34
Bi 0.5000 0.5000 0.5000  12 Pd 3.30
Zn 0.0000 0.0000 0.0000  6 Pd 2.34
Pd 0.5000 0.0000 0.0000  2 Zn 2.34
Pd 0.0000 0.0000 0.5000  2 Zn 2.34

=====

Zn2BiPd9 | PBE | optimized geometry

Calculated values
Calculated volume: 191 Å³ per cell
Fermi-level density of states: 11.519 states/eV per cell
Formation energy from the elements: -3.51 eV/f.u.
Total moment: 0.000 μB/cell

a = 3.9924 Å, b = 3.9924 Å, c = 11.9554 Å
α = 90.00°, β = 90.00°, γ = 90.00°
Last column: nearest neighbours and their distance in Å.
Element x y z (fractional)
Pd 0.5000 0.0000 0.1806  8 Pd 2.75-2.94, 2 Zn 2.78, 2 Bi 2.94
Pd 0.5000 0.5000 0.3395  8 Pd 2.75-2.77, 4 Zn 2.82
Pd 0.0000 0.5000 0.5000  4 Zn 2.74, 8 Pd 2.77-2.82
Pd 0.5000 0.5000 0.0000  4 Bi 2.82, 8 Pd 2.94
Pd 0.0000 0.5000 0.1806  8 Pd 2.75-2.94, 2 Zn 2.78, 2 Bi 2.94
Pd 0.0000 0.5000 0.8194  8 Pd 2.75-2.94, 2 Zn 2.78, 2 Bi 2.94
Bi 0.0000 0.0000 0.0000  12 Pd 2.82-2.94
Pd 0.5000 0.0000 0.8194  8 Pd 2.75-2.94, 2 Zn 2.78, 2 Bi 2.94
Pd 0.5000 0.5000 0.6605  8 Pd 2.75-2.77, 4 Zn 2.82
Pd 0.5000 0.0000 0.5000  4 Zn 2.74, 8 Pd 2.77-2.82
Zn 0.0000 0.0000 0.6574  12 Pd 2.74-2.82
Zn 0.0000 0.0000 0.3426  12 Pd 2.74-2.82

=====

ZnBiPd | PBE | optimized geometry

Calculated values
Calculated volume: 127 Å³ per cell
Polymorph energy (0 for the lowest one): 0.154 eV per atom
Fermi-level density of states: 2.400 states/eV per cell
Formation energy from the elements: -0.22 eV/f.u.
Total moment: 0.000 μB/cell

a = 3.3677 Å, b = 3.3432 Å, c = 13.0884 Å
α = 90.00°, β = 90.00°, γ = 120.24°
Last column: nearest neighbours and their distance in Å.
Element x y z (fractional)
Zn 0.2115 0.4231 0.8681  3 Pd 2.59-2.60
Bi 0.6736 0.3471 0.3312  3 Pd 2.90-2.95, 2 Zn 3.11
Pd 0.3479 0.6958 0.5000  6 Bi 2.90-2.95
Bi 0.6736 0.3471 0.6688  3 Pd 2.90-2.95, 2 Zn 3.11
Pd 0.5485 0.0970 0.0000  6 Zn 2.59-2.60
Zn 0.2115 0.4231 0.1319  3 Pd 2.59-2.60

=====

Zn2BiPd5 | PBE | optimized geometry

Calculated values
Calculated volume: 131 Å³ per cell
Fermi-level density of states: 2.414 states/eV per cell
Formation energy from the elements: -2.53 eV/f.u.
Total moment: 0.000 μB/cell

a = 5.6232 Å, b = 5.6228 Å, c = 5.5242 Å
α = 105.58°, β = 105.58°, γ = 118.19°
Last column: nearest neighbours and their distance in Å.
Element x y z (fractional)
Pd 0.7416 0.8144 0.5000  4 Zn 2.75-2.89, 2 Bi 2.83-2.84, 6 Pd 2.85-2.94
Bi 0.8073 0.7481 0.0000  10 Pd 2.80-2.89
Pd 0.2999 0.7366 0.0000  4 Zn 2.69-2.96, 6 Pd 2.78-3.00, 2 Bi 2.80-2.82
Pd 0.8190 0.2555 0.0000  4 Zn 2.69-2.96, 6 Pd 2.78-3.00, 2 Bi 2.80-2.82
Pd 0.2416 0.3143 0.5000  4 Zn 2.75-2.89, 2 Bi 2.83-2.84, 6 Pd 2.85-2.94
Zn 0.7295 0.2852 0.4587  9 Pd 2.69-2.96, 2 Zn 2.91
Zn 0.2707 0.8265 0.5413  9 Pd 2.69-2.96, 2 Zn 2.91
Pd 0.3134 0.2424 0.0000  8 Pd 2.81-2.85, 2 Zn 2.81, 2 Bi 2.89

=====

ZnBiPd | PBE | optimized geometry

Calculated values
Calculated volume: 61 Å³ per cell
Polymorph energy (0 for the lowest one): 0.052 eV per atom
Fermi-level density of states: 1.742 states/eV per cell
Formation energy from the elements: -0.52 eV/f.u.
Total moment: 0.000 μB/cell

a = 3.3763 Å, b = 3.3763 Å, c = 5.8512 Å
α = 106.77°, β = 106.77°, γ = 90.00°
Last column: nearest neighbours and their distance in Å.
Element x y z (fractional)
Zn 0.2974 0.2974 0.5947  4 Pd 2.63
Pd 0.6951 0.6951 0.3903  4 Zn 2.63
Bi 0.0075 0.0075 0.0150  5 Zn 3.10-3.28, 5 Pd 3.12-3.34, 4 Bi 3.38

=====

ZnBiPd2 | PBE | optimized geometry

Calculated values
Calculated volume: 72 Å³ per cell
Polymorph energy (0 for the lowest one): 0.000 eV per atom
Fermi-level density of states: 1.421 states/eV per cell
Formation energy from the elements: -1.38 eV/f.u.
Total moment: 0.000 μB/cell

a = 3.2239 Å, b = 3.2239 Å, c = 6.9720 Å
α = 90.00°, β = 90.00°, γ = 90.00°
Last column: nearest neighbours and their distance in Å.
Element x y z (fractional)
Zn 0.5000 0.5000 0.0000  8 Pd 2.69
Pd 0.0000 0.0000 0.2054  4 Zn 2.69, 1 Pd 2.86
Pd 0.0000 0.0000 0.7946  4 Zn 2.69, 1 Pd 2.86
Bi 0.5000 0.5000 0.5000  8 Pd 3.07, 4 Bi 3.22

=====

ZnBiPd2 | PBE | optimized geometry

Calculated values
Calculated volume: 155 Å³ per cell
Polymorph energy (0 for the lowest one): 0.214 eV per atom
Fermi-level density of states: 3.566 states/eV per cell
Formation energy from the elements: -0.52 eV/f.u.
Total moment: 0.000 μB/cell

a = 7.3461 Å, b = 7.3461 Å, c = 5.9328 Å
α = 51.75°, β = 51.75°, γ = 90.00°
Last column: nearest neighbours and their distance in Å.
Element x y z (fractional)
Bi 0.7500 0.2500 0.5000  2 Zn 2.87, 4 Pd 2.89
Zn 0.5000 0.5000 0.0000  4 Pd 2.51
Pd 0.8750 0.8370 0.7500  2 Zn 2.51
Zn 0.2500 0.7500 0.5000  4 Pd 2.51
Pd 0.3750 0.4130 0.7500  2 Zn 2.51
Bi 0.0000 0.0000 0.0000  2 Zn 2.87, 4 Pd 2.89
Pd 0.5870 0.1250 0.2500  2 Zn 2.51
Pd 0.1630 0.6250 0.2500  2 Zn 2.51

=====

Number 5 is which compound?
Zn2BiPd5

=====

What is the Fermi-level density of states in the fourth record?
2.400 states/eV per cell

=====

Look up the formation energy from the elements of the eighth one.
-0.52 eV/f.u.

=====

formation energy from the elements of number 7 (ZnBiPd2)?
-1.38 eV/f.u.